# 1
Nd2SiAu: optimized geometry, PBE.

abc: 3.6205 3.6205 7.5696
angles: 90.00 90.00 90.00
Sites, in units of the cell vectors:
Nd 0.0000 0.0000 0.7574
Nd 0.0000 0.0000 0.2426
Si 0.5000 0.5000 0.0000
Au 0.5000 0.5000 0.5000

Values from the calculation:
ΔE_f (raw) = -0.617 eV per atom
symmetry = No. 123

# 2
BaMoOs3: optimized geometry, PBE.

abc: 4.8432 4.8432 4.8432
angles: 90.00 90.00 90.00
Sites, in units of the cell vectors:
Mo 0.0000 0.0000 0.0000
Os 0.0000 0.5000 0.0000
Os 0.0000 0.0000 0.5000
Os 0.5000 0.0000 0.0000
Ba 0.5000 0.5000 0.5000

Values from the calculation:
energy relative to the elements = 1516 meV/atom
symmetry = No. 221
E above lowest polymorph = 0 meV per atom

# 3
Pu2InO: optimized geometry, PBE.

abc: 3.5939 3.5939 8.2879
angles: 77.48 77.48 60.00
Each line ends with the local moment (μB).
Sites, in units of the cell vectors:
In 0.5000 0.5000 0.5000  -0.02
O 0.0000 0.0000 0.0000  -0.12
Pu 0.2763 0.2763 0.1711  5.60
Pu 0.7237 0.7237 0.8289  5.60

Values from the calculation:
ΔE_f (raw) = -1.144 eV per atom
symmetry = No. 166
E above lowest polymorph = 0 meV per atom